Crystalline RbMoOF2 at its relaxed geometry. Source: the Alexandria database, functional PBE+U.

## Properties
* space-group type: No. 123
* E_tot: -0.404 Ry/atom
* total magnetic moment: 3.00 μB/f.u.

Unit cell a=4.3643 b=4.1971 c=4.3643 alpha=90.00 beta=90.00 gamma=90.00
Last column: magnetic moment on the atom in μB.
Atoms (fractional coordinates):
Mo 0.0000 0.0000 0.0000  2.68
Rb 0.5000 0.5000 0.5000  0.00
F 0.5000 0.0000 0.0000  0.04
O 0.0000 0.5000 0.0000  0.14
F 0.0000 0.0000 0.5000  0.01